A geometry-optimized La2ScBi2 structure. Source: the Alexandria database, functional PBE.

Output
ΔE_f, meV/atom: -756
Energy relative to the lowest polymorph listed for this composition, eV/atom: 0.0000
Space group: P4/mbm, No. 127
Spin magnetization, Bohr magnetons per cell: 1.72

a = 8.3661 Å, b = 8.3661 Å, c = 4.5774 Å
α = 90.00°, β = 90.00°, γ = 90.00°
With the nearest neighbours (Å) after each atom.
Fractional positions:
La 0.6555 0.8445 0.5000  6 Bi 3.23-3.45
La 0.3445 0.1555 0.5000  6 Bi 3.23-3.45
La 0.8445 0.3445 0.5000  6 Bi 3.23-3.45
La 0.1555 0.6555 0.5000  6 Bi 3.23-3.45
Bi 0.6523 0.1523 0.0000  2 Sc 3.18, 6 La 3.23-3.45
Bi 0.3477 0.8477 0.0000  2 Sc 3.18, 6 La 3.23-3.45
Bi 0.8477 0.6523 0.0000  2 Sc 3.18, 6 La 3.23-3.45
Bi 0.1523 0.3477 0.0000  2 Sc 3.18, 6 La 3.23-3.45
Sc 0.0000 0.0000 0.0000  4 Bi 3.18
Sc 0.5000 0.5000 0.0000  4 Bi 3.18